DyGaC after structural relaxation. Source: the Alexandria database, functional PBE.

Structure (POSCAR):
```
DyGaC
1.0
7.467 0.000 0.000
0.000 3.940 0.000
-2.181 0.000 7.167
Dy Ga C
4 4 4
direct
0.086 0.000 0.309
0.414 0.500 0.691
0.586 0.500 0.309
0.914 0.000 0.691
0.168 0.500 0.026
0.332 0.000 0.974
0.668 0.000 0.026
0.832 0.500 0.974
0.091 0.500 0.541
0.409 0.000 0.459
0.591 0.000 0.541
0.909 0.500 0.459
```

Properties
- energy relative to the elements (kJ/mol of formula units) = -123
- VASP energy (eV per atom) = -6.04
- energy relative to the lowest polymorph listed for this composition (meV/atom) = 0.0
- theoretical density (Mg/m³) = 7.69
- magnetic moment (μB/f.u.) = 0.00